A plane-wave DFT calculation with GGA+U was carried out for crystalline LiCoBO3 at its relaxed geometry.

The structure in extended XYZ format:
```
24
Lattice="5.1498 0.0001 0.0023 2.5594 4.4688 -0.0023 -0.0811 0.1398 10.3892" Properties=species:S:1:pos:R:3 pbc="T T T"
Co 2.1379 2.2772 4.1027
Co 4.6302 3.8153 9.2973
Co 5.4886 2.3327 6.6892
Co 2.9978 0.7954 1.4947
B 2.9343 0.8197 6.4625
B 4.6998 3.7780 3.8649
B 5.5802 2.2600 1.2679
B 2.0546 2.3381 9.0595
Li 3.0228 3.8024 1.7186
Li 4.6652 0.8537 9.5050
Li 2.8669 3.8054 6.9131
Li 4.6905 0.7749 4.3104
O 4.9360 1.0430 1.1314
O 4.8601 3.4405 0.9768
O 1.7600 2.3435 1.6205
O 2.6958 3.5557 8.9115
O 5.3437 2.6208 4.2470
O 3.3246 3.8267 3.7169
O 5.8233 2.2687 8.7606
O 4.7605 4.1762 6.8151
O 4.3105 0.7739 6.3260
O 2.2679 2.0312 6.1713
O 2.8870 0.4733 3.5660
O 2.7388 1.2042 9.4416
```

## Properties
Magnetic moment: 3.01 μB per formula unit
Calculated volume: 239.1 Å³/cell
Excess energy over the best structure of this formula in the dataset: 0.03 eV/f.u.